Entry 1:
Here is crystalline PrYAlIn at its relaxed geometry from Alexandria via LeMat-Bulk. Energies are from GGA-PBE.

Structure (POSCAR):
```
PrYAlIn
1.0
0.000 3.765 3.765
3.765 0.000 3.765
3.765 3.765 0.000
Pr Y Al In
1 1 1 1
Direct
0.000 0.000 0.000
0.500 0.500 0.500
0.250 0.250 0.250
0.750 0.750 0.750
```

Values from the calculation:
The total energy comes out at -19.404 eV per cell. As for the formation energy: -420 meV/atom. Its symmetry is No. 216. The value obtained for the polymorph energy (0 for the lowest one) is 16 meV per atom.

***

Entry 2:
Here is crystalline Pr2Al3Zn4In at its relaxed geometry from Alexandria via LeMat-Bulk. Energies are from GGA-PBE.

Structure (POSCAR):
```
Pr2Al3Zn4In
1.0
4.328 0.000 0.000
0.000 4.328 0.000
0.000 0.000 10.914
Pr Al Zn In
2 3 4 1
Direct
0.000 0.500 0.241
0.500 0.000 0.759
0.000 0.500 0.873
0.500 0.000 0.127
0.500 0.500 0.500
0.000 0.000 0.000
0.000 0.500 0.647
0.500 0.000 0.353
0.500 0.500 0.000
0.000 0.000 0.500
```

Values from the calculation:
The total energy comes out at -32.581 eV per cell. As for the formation energy: -396 meV/atom. Its symmetry is No. 115.

***

Entry 3:
Here is crystalline AlInPt6 at its relaxed geometry from Alexandria via LeMat-Bulk. Energies are from GGA-PBE.

Structure (POSCAR):
```
AlInPt6
1.0
3.987 0.000 0.000
0.000 3.987 0.000
0.000 0.000 7.975
Al In Pt
1 1 6
Direct
0.000 0.000 0.000
0.000 0.000 0.500
0.000 0.500 0.237
0.000 0.500 0.763
0.500 0.000 0.237
0.500 0.000 0.763
0.500 0.500 0.000
0.500 0.500 0.500
```

Values from the calculation:
The total energy comes out at -47.029 eV per cell. As for the formation energy: -538 meV/atom. Its symmetry is No. 123.

***

Entry 4:
Here is crystalline AlInPt at its relaxed geometry from Alexandria via LeMat-Bulk. Energies are from GGA-PBE.

Structure (POSCAR):
```
AlInPt
1.0
-1.598 1.598 5.461
1.598 -1.598 5.461
1.598 1.598 -5.461
Al In Pt
1 1 1
Direct
0.000 0.000 0.000
0.704 0.704 0.000
0.389 0.389 0.000
```

Values from the calculation:
The total energy comes out at -13.695 eV per cell. As for the formation energy: -391 meV/atom. Its symmetry is No. 107.